DFT (PBE) results for a geometry-optimized ScZnCdGe2 structure.

Summary:
V	115.0	Å³/cell
SG	No. 123
E_form	0.35	eV/atom
excess energy over the best structure of this formula in the dataset	0.000	eV per formula unit

abc: 4.8594 4.8594 4.8679
angles: 90.00 90.00 90.00
With the nearest neighbours (Å) after each atom.
Fractional coordinates of all 5 atoms:
Sc (0.0000, 0.0000, 0.0000)  4 Cd 3.44, 8 Ge 3.44
Zn (0.5000, 0.5000, 0.5000)  4 Ge 2.43, 2 Cd 2.43
Cd (0.5000, 0.5000, 0.0000)  2 Zn 2.43
Ge (0.0000, 0.5000, 0.5000)  2 Zn 2.43
Ge (0.5000, 0.0000, 0.5000)  2 Zn 2.43

---

DFT (PBE) results for a geometry-optimized CsSrF3 structure.

Summary:
V	468.4	Å³/cell
formation energy (no corrections)	-3.297	eV/atom
SG	No. 62
excess energy over the best structure of this formula in the dataset	0.680	eV per formula unit

abc: 7.4693 8.1611 7.6835
angles: 90.00 90.00 90.00
With the nearest neighbours (Å) after each atom.
Fractional coordinates of all 20 atoms:
Cs (0.0000, 0.0000, 0.0000)  6 F 2.95-3.11
Cs (0.0000, 0.5000, 0.0000)  6 F 2.95-3.11
Cs (0.5000, 0.0000, 0.5000)  6 F 2.95-3.11
Cs (0.5000, 0.5000, 0.5000)  6 F 2.95-3.11
Sr (0.0242, 0.2500, 0.4451)  6 F 2.37-2.61
Sr (0.4758, 0.7500, 0.9451)  6 F 2.37-2.61
Sr (0.5242, 0.2500, 0.0549)  6 F 2.37-2.61
Sr (0.9758, 0.7500, 0.5549)  6 F 2.37-2.61
F (0.1117, 0.5502, 0.3645)  2 Sr 2.41-2.61
F (0.1117, 0.9498, 0.3645)  2 Sr 2.41-2.61
F (0.1845, 0.7500, 0.7874)  2 Sr 2.37-2.49
F (0.3155, 0.2500, 0.2874)  2 Sr 2.37-2.49
F (0.3883, 0.0502, 0.8645)  2 Sr 2.41-2.61
F (0.3883, 0.4498, 0.8645)  2 Sr 2.41-2.61
F (0.6117, 0.5502, 0.1355)  2 Sr 2.41-2.61
F (0.6117, 0.9498, 0.1355)  2 Sr 2.41-2.61
F (0.6845, 0.7500, 0.7126)  2 Sr 2.37-2.49
F (0.8155, 0.2500, 0.2126)  2 Sr 2.37-2.49
F (0.8883, 0.0502, 0.6355)  2 Sr 2.41-2.61
F (0.8883, 0.4498, 0.6355)  2 Sr 2.41-2.61

---

DFT (PBE) results for a geometry-optimized KFeCo structure.

Summary:
V	64.9	Å³/cell
SG	No. 216
E_form	1.57	eV/atom
excess energy over the best structure of this formula in the dataset	3.468	eV per formula unit

abc: 4.5097 4.5097 4.5097
angles: 60.00 60.00 60.00
With the nearest neighbours (Å) after each atom.
Fractional coordinates of all 3 atoms:
K (0.0000, 0.0000, 0.0000)  4 Fe 2.76
Fe (0.2500, 0.2500, 0.2500)  4 Co 2.76, 4 K 2.76
Co (0.5000, 0.5000, 0.5000)  4 Fe 2.76

---

DFT (PBE) results for a geometry-optimized Si2Os3 structure.

Summary:
V	72.1	Å³/cell
formation energy (no corrections)	-0.020	eV/atom
SG	No. 164
excess energy over the best structure of this formula in the dataset	0.172	eV per formula unit

abc: 4.0442 4.0442 5.0873
angles: 90.00 90.00 120.00
With the nearest neighbours (Å) after each atom.
Fractional coordinates of all 5 atoms:
Si (0.3333, 0.6667, 0.3046)  8 Os 2.43-2.65
Si (0.6667, 0.3333, 0.6954)  8 Os 2.43-2.65
Os (0.0000, 0.0000, 0.5000)  6 Si 2.54
Os (0.3333, 0.6667, 0.8250)  5 Si 2.43-2.65
Os (0.6667, 0.3333, 0.1750)  5 Si 2.43-2.65

---

DFT (PBE) results for a geometry-optimized Na2CdRh structure.

Summary:
V	179.4	Å³/cell
SG	No. 122
E_form	0.33	eV/atom

abc: 6.3441 6.3441 6.3441
angles: 100.74 100.74 128.86
With the nearest neighbours (Å) after each atom.
Fractional coordinates of all 8 atoms:
Na (0.1018, 0.1250, 0.4768)  2 Na 2.76, 2 Rh 2.82, 2 Cd 3.07
Na (0.3750, 0.8982, 0.0232)  2 Na 2.76, 2 Rh 2.82, 2 Cd 3.07
Na (0.6482, 0.6250, 0.5232)  2 Na 2.76, 2 Rh 2.82, 2 Cd 3.07
Na (0.8750, 0.3518, 0.9768)  2 Na 2.76, 2 Rh 2.82, 2 Cd 3.07
Cd (0.2500, 0.7500, 0.5000)  2 Rh 2.74
Cd (0.5000, 0.5000, 0.0000)  2 Rh 2.74
Rh (0.0000, 0.0000, 0.0000)  2 Cd 2.74, 4 Na 2.82
Rh (0.7500, 0.2500, 0.5000)  2 Cd 2.74, 4 Na 2.82

---

DFT (PBE) results for a geometry-optimized CeUInO6 structure.

Summary:
V	272.4	Å³/cell
formation energy (no corrections)	-2.761	eV/atom
SG	No. 163

abc: 5.5962 5.5962 10.0451
angles: 90.00 90.00 120.00
With the nearest neighbours (Å) after each atom.
Fractional coordinates of all 18 atoms:
Ce (0.0000, 0.0000, 0.0000)  6 O 2.35
Ce (0.0000, 0.0000, 0.5000)  6 O 2.35
U (0.3333, 0.6667, 0.2500)  6 O 2.13
U (0.6667, 0.3333, 0.7500)  6 O 2.13
In (0.3333, 0.6667, 0.7500)  6 O 2.21
In (0.6667, 0.3333, 0.2500)  6 O 2.21
O (0.0105, 0.3489, 0.1347)  1 U 2.13, 1 In 2.21, 1 Ce 2.35
O (0.0105, 0.6616, 0.3653)  1 U 2.13, 1 In 2.21, 1 Ce 2.35
O (0.3384, 0.3489, 0.3653)  1 U 2.13, 1 In 2.21, 1 Ce 2.35
O (0.3384, 0.9895, 0.1347)  1 U 2.13, 1 In 2.21, 1 Ce 2.35
O (0.3489, 0.0105, 0.6347)  1 U 2.13, 1 In 2.21, 1 Ce 2.35
O (0.3489, 0.3384, 0.8653)  1 U 2.13, 1 In 2.21, 1 Ce 2.35
O (0.6511, 0.6616, 0.1347)  1 U 2.13, 1 In 2.21, 1 Ce 2.35
O (0.6511, 0.9895, 0.3653)  1 U 2.13, 1 In 2.21, 1 Ce 2.35
O (0.6616, 0.0105, 0.8653)  1 U 2.13, 1 In 2.21, 1 Ce 2.35
O (0.6616, 0.6511, 0.6347)  1 U 2.13, 1 In 2.21, 1 Ce 2.35
O (0.9895, 0.3384, 0.6347)  1 U 2.13, 1 In 2.21, 1 Ce 2.35
O (0.9895, 0.6511, 0.8653)  1 U 2.13, 1 In 2.21, 1 Ce 2.35

---

DFT (PBE) results for a geometry-optimized ScAg2Mo structure.

Summary:
V	72.1	Å³/cell
SG	No. 6
E_form	0.28	eV/atom
excess energy over the best structure of this formula in the dataset	0.536	eV per formula unit

abc: 2.7582 4.6086 5.8324
angles: 90.00 103.47 90.00
With the nearest neighbours (Å) after each atom.
Fractional coordinates of all 4 atoms:
Sc (0.0000, 0.0000, 0.0000)  2 Sc 2.76, 5 Ag 2.82-3.00
Ag (0.6176, 0.5000, 0.2356)  4 Ag 2.76, 3 Mo 2.92-3.08, 4 Sc 3.00
Ag (0.7511, 0.0000, 0.5032)  4 Ag 2.76, 1 Sc 2.82, 4 Mo 2.95-2.96
Mo (0.3596, 0.5000, 0.7201)  2 Mo 2.76, 7 Ag 2.92-3.08

---

DFT (PBE) results for a geometry-optimized IrPbAu2Se structure.

Summary:
V	134.5	Å³/cell
formation energy (no corrections)	0.745	eV/atom
SG	No. 123

abc: 5.1021 5.1021 5.1658
angles: 90.00 90.00 90.00
With the nearest neighbours (Å) after each atom.
Fractional coordinates of all 5 atoms:
Ir (0.0000, 0.0000, 0.0000)  4 Au 2.55, 2 Pb 2.58
Pb (0.0000, 0.0000, 0.5000)  2 Ir 2.58
Au (0.0000, 0.5000, 0.0000)  2 Ir 2.55
Au (0.5000, 0.0000, 0.0000)  2 Ir 2.55
Se (0.5000, 0.5000, 0.5000)  4 Pb 3.61, 8 Au 3.63

---

DFT (PBE) results for a geometry-optimized GaP2H15C5N2O8 structure.

Summary:
V	1277.8	Å³/cell
VASP energy	-5.922	eV/atom
SG	No. 58

abc: 9.0525 15.5168 9.0970
angles: 90.00 90.00 90.00
With the nearest neighbours (Å) after each atom.
Fractional coordinates of all 132 atoms:
Ga (0.0000, 0.0000, 0.2473)  4 O 1.84-1.86
Ga (0.0000, 0.0000, 0.7527)  4 O 1.84-1.86
Ga (0.5000, 0.5000, 0.2527)  4 O 1.84-1.86
Ga (0.5000, 0.5000, 0.7473)  4 O 1.84-1.86
P (0.1580, 0.0894, 0.5000)  4 O 1.50-1.58
P (0.1587, 0.8933, 0.0000)  4 O 1.52-1.58
P (0.3413, 0.3933, 0.5000)  4 O 1.52-1.58
P (0.3420, 0.5894, 0.0000)  4 O 1.50-1.58
P (0.6580, 0.4106, 0.0000)  4 O 1.50-1.58
P (0.6587, 0.6067, 0.5000)  4 O 1.52-1.58
P (0.8413, 0.1067, 0.0000)  4 O 1.52-1.58
P (0.8420, 0.9106, 0.5000)  4 O 1.50-1.58
H (0.0215, 0.2974, 0.3570)  1 C 1.10
H (0.0215, 0.2974, 0.6430)  1 C 1.10
H (0.0477, 0.4183, 0.5000)  1 N 1.08
H (0.0501, 0.2959, 0.0000)  1 C 1.09
H (0.0808, 0.6179, 0.2689)  1 C 1.10
H (0.0808, 0.6179, 0.7311)  1 C 1.10
H (0.1189, 0.8093, 0.5000)  1 N 1.08
H (0.1381, 0.5568, 0.5000)  1 N 1.06
H (0.1617, 0.3730, 0.0978)  1 C 1.10
H (0.1617, 0.3730, 0.9022)  1 C 1.10
H (0.1826, 0.1764, 0.1353)  1 C 1.10
H (0.1826, 0.1764, 0.8647)  1 C 1.10
H (0.2021, 0.7071, 0.0000)  1 O 1.05
H (0.2165, 0.7582, 0.2684)  1 C 1.10
H (0.2165, 0.7582, 0.7316)  1 C 1.10
H (0.2835, 0.2582, 0.2316)  1 C 1.10
H (0.2835, 0.2582, 0.7684)  1 C 1.10
H (0.2979, 0.2071, 0.5000)  1 O 1.05
H (0.3174, 0.6764, 0.3647)  1 C 1.10
H (0.3174, 0.6764, 0.6353)  1 C 1.10
H (0.3383, 0.8730, 0.4022)  1 C 1.10
H (0.3383, 0.8730, 0.5978)  1 C 1.10
H (0.3619, 0.0568, 0.0000)  1 N 1.06
H (0.3811, 0.3093, 0.0000)  1 N 1.08
H (0.4192, 0.1179, 0.2311)  1 C 1.10
H (0.4192, 0.1179, 0.7689)  1 C 1.10
H (0.4499, 0.7959, 0.5000)  1 C 1.09
H (0.4523, 0.9183, 0.0000)  1 N 1.08
H (0.4785, 0.7974, 0.1430)  1 C 1.10
H (0.4785, 0.7974, 0.8570)  1 C 1.10
H (0.5215, 0.2026, 0.1430)  1 C 1.10
H (0.5215, 0.2026, 0.8570)  1 C 1.10
H (0.5477, 0.0817, 0.0000)  1 N 1.08
H (0.5501, 0.2041, 0.5000)  1 C 1.09
H (0.5808, 0.8821, 0.2311)  1 C 1.10
H (0.5808, 0.8821, 0.7689)  1 C 1.10
H (0.6189, 0.6907, 0.0000)  1 N 1.08
H (0.6381, 0.9432, 0.0000)  1 N 1.06
H (0.6617, 0.1270, 0.4022)  1 C 1.10
H (0.6617, 0.1270, 0.5978)  1 C 1.10
H (0.6826, 0.3236, 0.3647)  1 C 1.10
H (0.6826, 0.3236, 0.6353)  1 C 1.10
H (0.7021, 0.7929, 0.5000)  1 O 1.05
H (0.7165, 0.7418, 0.2316)  1 C 1.10
H (0.7165, 0.7418, 0.7684)  1 C 1.10
H (0.7835, 0.2418, 0.2684)  1 C 1.10
H (0.7835, 0.2418, 0.7316)  1 C 1.10
H (0.7979, 0.2929, 0.0000)  1 O 1.05
H (0.8174, 0.8236, 0.1353)  1 C 1.10
H (0.8174, 0.8236, 0.8647)  1 C 1.10
H (0.8383, 0.6270, 0.0978)  1 C 1.10
H (0.8383, 0.6270, 0.9022)  1 C 1.10
H (0.8619, 0.4432, 0.5000)  1 N 1.06
H (0.8811, 0.1907, 0.5000)  1 N 1.08
H (0.9192, 0.3821, 0.2689)  1 C 1.10
H (0.9192, 0.3821, 0.7311)  1 C 1.10
H (0.9499, 0.7041, 0.0000)  1 C 1.09
H (0.9523, 0.5817, 0.5000)  1 N 1.08
H (0.9785, 0.7026, 0.3570)  1 C 1.10
H (0.9785, 0.7026, 0.6430)  1 C 1.10
C (0.0770, 0.6615, 0.3636)  2 H 1.10
C (0.0770, 0.6615, 0.6364)  2 H 1.10
C (0.1538, 0.3320, 0.0000)  3 H 1.09-1.10
C (0.2165, 0.7160, 0.3654)  2 H 1.10
C (0.2165, 0.7160, 0.6346)  2 H 1.10
C (0.2835, 0.2160, 0.1346)  2 H 1.10
C (0.2835, 0.2160, 0.8654)  2 H 1.10
C (0.3462, 0.8320, 0.5000)  3 H 1.09-1.10
C (0.4230, 0.1615, 0.1364)  2 H 1.10
C (0.4230, 0.1615, 0.8636)  2 H 1.10
C (0.5770, 0.8385, 0.1364)  2 H 1.10
C (0.5770, 0.8385, 0.8636)  2 H 1.10
C (0.6538, 0.1680, 0.5000)  3 H 1.09-1.10
C (0.7165, 0.7840, 0.1346)  2 H 1.10
C (0.7165, 0.7840, 0.8654)  2 H 1.10
C (0.7835, 0.2840, 0.3654)  2 H 1.10
C (0.7835, 0.2840, 0.6346)  2 H 1.10
C (0.8462, 0.6680, 0.0000)  3 H 1.09-1.10
C (0.9230, 0.3385, 0.3636)  2 H 1.10
C (0.9230, 0.3385, 0.6364)  2 H 1.10
N (0.0617, 0.6087, 0.5000)  2 H 1.06-1.08
N (0.2195, 0.7714, 0.5000)  1 H 1.08
N (0.2805, 0.2714, 0.0000)  1 H 1.08
N (0.4383, 0.1087, 0.0000)  2 H 1.06-1.08
N (0.5617, 0.8913, 0.0000)  2 H 1.06-1.08
N (0.7195, 0.7286, 0.0000)  1 H 1.08
N (0.7805, 0.2286, 0.5000)  1 H 1.08
N (0.9383, 0.3913, 0.5000)  2 H 1.06-1.08
O (0.0278, 0.1497, 0.5000)  1 H 1.47, 1 P 1.50
O (0.0552, 0.9051, 0.1387)  1 P 1.58
O (0.0552, 0.9051, 0.8613)  1 P 1.58
O (0.1635, 0.0302, 0.3606)  1 P 1.57
O (0.1635, 0.0302, 0.6394)  1 P 1.57
O (0.1907, 0.6401, 0.0000)  1 H 1.05
O (0.2150, 0.4597, 0.5000)  1 P 1.54, 2 H 1.65-1.66
O (0.2173, 0.8014, 0.0000)  1 H 1.47, 1 P 1.52
O (0.2827, 0.3014, 0.5000)  1 H 1.47, 1 P 1.52
O (0.2850, 0.9597, 0.0000)  1 P 1.54, 2 H 1.65-1.66
O (0.3093, 0.1401, 0.5000)  1 H 1.05
O (0.3365, 0.5302, 0.1394)  1 P 1.57
O (0.3365, 0.5302, 0.8606)  1 P 1.57
O (0.4448, 0.4051, 0.3613)  1 P 1.58
O (0.4448, 0.4051, 0.6387)  1 P 1.58
O (0.4722, 0.6497, 0.0000)  1 H 1.47, 1 P 1.50
O (0.5278, 0.3503, 0.0000)  1 H 1.47, 1 P 1.50
O (0.5552, 0.5949, 0.3613)  1 P 1.58
O (0.5552, 0.5949, 0.6387)  1 P 1.58
O (0.6635, 0.4698, 0.1394)  1 P 1.57
O (0.6635, 0.4698, 0.8606)  1 P 1.57
O (0.6907, 0.8599, 0.5000)  1 H 1.05
O (0.7150, 0.0403, 0.0000)  1 P 1.54, 2 H 1.65-1.66
O (0.7173, 0.6986, 0.5000)  1 H 1.47, 1 P 1.52
O (0.7827, 0.1986, 0.0000)  1 H 1.47, 1 P 1.52
O (0.7850, 0.5403, 0.5000)  1 P 1.54, 2 H 1.65-1.66
O (0.8093, 0.3599, 0.0000)  1 H 1.05
O (0.8365, 0.9698, 0.3606)  1 P 1.57
O (0.8365, 0.9698, 0.6394)  1 P 1.57
O (0.9448, 0.0949, 0.1387)  1 P 1.58
O (0.9448, 0.0949, 0.8613)  1 P 1.58
O (0.9722, 0.8503, 0.5000)  1 H 1.47, 1 P 1.50